Entry 1:
A geometry-optimized CdAs2PO structure. Source: Alexandria via LeMat-Bulk, functional PBE.

E_tot ... -4.162 eV/atom

```
CdAs2PO
1.0
5.086 0.000 0.000
0.000 3.380 0.000
0.000 0.000 5.086
Cd As P O
1 2 1 1
Direct
0.500 0.500 0.500 Cd
0.000 0.000 0.500 As
0.500 0.000 0.000 As
0.000 0.000 0.000 P
0.000 0.500 0.000 O
```

***

Entry 2:
A geometry-optimized PaCd2AsO8 structure. Source: Alexandria via LeMat-Bulk, functional PBE.

E_tot ... -6.231 eV/atom

```
PaCd2AsO8
1.0
4.493 0.138 -0.003
0.184 5.124 -0.008
0.003 0.004 6.736
O Cd Pa As
8 2 1 1
Direct
0.099 0.770 0.203 O
0.901 0.230 0.797 O
0.604 0.882 0.000 O
0.347 0.244 0.500 O
0.902 0.231 0.203 O
0.653 0.756 0.500 O
0.396 0.118 0.000 O
0.098 0.769 0.797 O
0.499 0.499 0.239 Cd
0.501 0.501 0.761 Cd
0.000 0.000 0.500 Pa
0.000 0.000 0.000 As
```

***

Entry 3:
A geometry-optimized CdAsPbO5 structure. Source: Alexandria via LeMat-Bulk, functional PBE.

E_tot ... -5.370 eV/atom

```
CdAsPbO5
1.0
-3.135 4.835 -2.444
-4.418 -4.305 -1.062
0.440 1.122 7.823
As O Cd Pb
2 10 2 2
Direct
0.644 0.356 0.250 As
0.356 0.644 0.750 As
0.777 0.284 0.086 O
0.284 0.777 0.586 O
0.693 0.654 0.363 O
0.093 0.907 0.250 O
0.716 0.223 0.414 O
0.907 0.093 0.750 O
0.654 0.693 0.863 O
0.223 0.716 0.914 O
0.346 0.307 0.137 O
0.307 0.346 0.637 O
0.679 0.321 0.750 Cd
0.321 0.679 0.250 Cd
0.000 0.000 0.000 Pb
0.000 0.000 0.500 Pb
```

***

Entry 4:
A geometry-optimized CdAs2Pb2O6 structure. Source: Alexandria via LeMat-Bulk, functional PBE.

E_tot ... -5.464 eV/atom

```
CdAs2Pb2O6
1.0
6.162 0.000 0.000
-3.081 4.603 -0.253
0.000 -2.593 6.863
O Pb As Cd
6 2 2 1
Direct
0.171 0.908 0.257 O
0.245 0.490 0.490 O
0.755 0.510 0.510 O
0.829 0.092 0.743 O
0.264 0.092 0.743 O
0.736 0.908 0.257 O
0.273 0.546 0.816 Pb
0.727 0.454 0.184 Pb
0.915 0.830 0.750 As
0.085 0.170 0.250 As
0.500 0.000 0.500 Cd
```

***

Entry 5:
A geometry-optimized CdAs2PbO8 structure. Source: Alexandria via LeMat-Bulk, functional PBE.

E_tot ... -5.427 eV/atom

```
CdAs2PbO8
1.0
5.620 0.000 0.000
-2.810 4.867 0.000
0.000 0.000 6.680
O As Cd Pb
8 2 1 1
Direct
0.836 0.673 0.249 O
0.164 0.327 0.751 O
0.163 0.836 0.751 O
0.837 0.164 0.249 O
0.333 0.667 0.089 O
0.667 0.333 0.911 O
0.327 0.163 0.249 O
0.673 0.837 0.751 O
0.667 0.333 0.160 As
0.333 0.667 0.840 As
0.000 0.000 0.500 Cd
0.000 0.000 0.000 Pb
```

***

Entry 6:
A geometry-optimized CdAs2PdO6 structure. Source: Alexandria via LeMat-Bulk, functional PBE.

E_tot ... -5.414 eV/atom

```
CdAs2PdO6
1.0
-4.722 -0.845 -4.384
-0.144 -6.428 -1.549
-5.405 -1.973 3.260
O Cd Pd As
12 2 2 4
Direct
0.490 0.575 0.779 O
0.510 0.425 0.221 O
0.340 0.196 0.062 O
0.589 0.193 0.593 O
0.089 0.593 0.193 O
0.840 0.062 0.196 O
0.990 0.779 0.575 O
0.010 0.221 0.425 O
0.911 0.407 0.807 O
0.660 0.804 0.938 O
0.160 0.938 0.804 O
0.411 0.807 0.407 O
0.250 0.878 0.122 Cd
0.750 0.122 0.878 Cd
0.750 0.682 0.318 Pd
0.250 0.318 0.682 Pd
0.256 0.719 0.658 As
0.756 0.658 0.719 As
0.244 0.342 0.281 As
0.744 0.281 0.342 As
```

***

Entry 7:
A geometry-optimized CdAsPdO5 structure. Source: Alexandria via LeMat-Bulk, functional PBE.

E_tot ... -5.318 eV/atom

```
CdAsPdO5
1.0
-0.424 2.451 5.444
-4.951 -3.162 -1.144
4.924 -4.910 0.800
O Pd Cd As
10 2 2 2
Direct
0.841 0.349 0.106 O
0.349 0.841 0.606 O
0.913 0.087 0.750 O
0.159 0.651 0.894 O
0.651 0.159 0.394 O
0.703 0.654 0.414 O
0.346 0.297 0.086 O
0.297 0.346 0.586 O
0.087 0.913 0.250 O
0.654 0.703 0.914 O
0.000 0.000 0.500 Pd
0.000 0.000 0.000 Pd
0.317 0.683 0.250 Cd
0.683 0.317 0.750 Cd
0.645 0.355 0.250 As
0.355 0.645 0.750 As
```

***

Entry 8:
A geometry-optimized PmCdAsO5 structure. Source: Alexandria via LeMat-Bulk, functional PBE.

E_tot ... -6.306 eV/atom

```
PmCdAsO5
1.0
6.195 0.635 -0.122
-1.201 6.111 -0.122
-2.220 -2.998 7.427
Cd O As Pm
2 10 2 2
Direct
0.678 0.322 0.750 Cd
0.322 0.678 0.250 Cd
0.779 0.275 0.094 O
0.699 0.653 0.358 O
0.221 0.725 0.906 O
0.301 0.347 0.642 O
0.347 0.301 0.142 O
0.725 0.221 0.406 O
0.900 0.100 0.750 O
0.100 0.900 0.250 O
0.275 0.779 0.594 O
0.653 0.699 0.858 O
0.648 0.352 0.250 As
0.352 0.648 0.750 As
0.000 0.000 0.000 Pm
0.000 0.000 0.500 Pm
```

***

Energy relative to the elements, uncorrected across the listed records, respectively: -0.05 -1.59 -1.11 -1.16 -0.96 -0.90 -0.87 -1.92 eV/atom.